[1]
DFT (PBE) results for an optimized crystal structure of Dy2Zn5AgRh2.

Results
The energy relative to the elements comes out at -9.36 kcal/mol of atoms. The total energy comes out at -3.7186 eV/atom. The magnetization is 0.00 μB per cell.

Cell: 4.055 9.433 9.433 Å, 90.00 90.00 90.00°
Atoms (fractional coordinates):
Dy  0.000  0.678  0.178
Dy  0.000  0.322  0.822
Dy  0.000  0.178  0.322
Dy  0.000  0.822  0.678
Zn  0.500  0.204  0.058
Zn  0.500  0.796  0.942
Zn  0.500  0.058  0.796
Zn  0.500  0.704  0.442
Zn  0.500  0.942  0.204
Zn  0.500  0.296  0.558
Zn  0.500  0.558  0.704
Zn  0.500  0.442  0.296
Zn  0.500  0.500  0.000
Zn  0.500  0.000  0.500
Ag  0.000  0.000  0.000
Ag  0.000  0.500  0.500
Rh  0.000  0.120  0.620
Rh  0.000  0.880  0.380
Rh  0.000  0.620  0.880
Rh  0.000  0.380  0.120



[2]
DFT (PBE) results for an optimized crystal structure of Dy3AgRu.

Results
The energy relative to the elements comes out at -7.78 kcal/mol of atoms. The total energy comes out at -5.5240 eV/atom. The magnetization is 0.00 μB per cell.

Cell: 5.612 6.440 8.363 Å, 112.67 79.55 118.00°
Atoms (fractional coordinates):
Dy  0.500  0.808  0.115
Dy  0.139  0.418  0.721
Dy  0.861  0.803  0.720
Dy  0.139  0.197  0.280
Dy  0.500  0.192  0.885
Dy  0.861  0.582  0.279
Ag  0.581  0.235  0.500
Ag  0.419  0.765  0.500
Ru  0.000  0.750  0.000
Ru  0.000  0.250  0.000



[3]
DFT (PBE) results for an optimized crystal structure of Dy5AgRu2.

Results
The energy relative to the elements comes out at -8.52 kcal/mol of atoms. The total energy comes out at -5.9212 eV/atom. The magnetization is 0.00 μB per cell.

Cell: 7.767 7.767 8.531 Å, 117.08 117.08 90.00°
Atoms (fractional coordinates):
Dy  0.521  0.710  0.731
Dy  0.790  0.979  0.269
Dy  0.000  0.000  0.000
Dy  0.500  0.500  0.000
Dy  0.210  0.021  0.731
Dy  0.710  0.210  0.731
Dy  0.021  0.521  0.731
Dy  0.290  0.790  0.269
Dy  0.979  0.479  0.269
Dy  0.479  0.290  0.269
Ag  0.750  0.750  0.500
Ag  0.250  0.250  0.500
Ru  0.144  0.356  0.000
Ru  0.644  0.144  0.000
Ru  0.356  0.856  0.000
Ru  0.856  0.644  0.000



[4]
DFT (PBE) results for an optimized crystal structure of Dy3Ag2Ru.

Results
The energy relative to the elements comes out at -7.71 kcal/mol of atoms. The total energy comes out at -5.1318 eV/atom. The magnetization is 0.00 μB per cell.

Cell: 5.003 5.003 6.196 Å, 90.00 90.00 120.00°
Atoms (fractional coordinates):
Dy  0.000  0.000  0.500
Dy  0.667  0.333  0.853
Dy  0.333  0.667  0.147
Ag  0.667  0.333  0.345
Ag  0.333  0.667  0.655
Ru  0.000  0.000  0.000



[5]
DFT (PBE) results for an optimized crystal structure of Dy4AgRu.

Results
The energy relative to the elements comes out at -7.10 kcal/mol of atoms. For the polymorph energy (0 for the lowest one), the calculation gives 0 meV per atom. The total energy comes out at -5.3969 eV/atom. The magnetization is 0.00 μB per cell.

Cell: 9.531 9.531 9.531 Å, 60.00 60.00 60.00°
Atoms (fractional coordinates):
Dy  0.402  0.402  0.402
Dy  0.795  0.402  0.402
Dy  0.402  0.795  0.402
Dy  0.402  0.402  0.795
Dy  0.560  0.560  0.940
Dy  0.940  0.940  0.560
Dy  0.560  0.940  0.560
Dy  0.940  0.560  0.940
Dy  0.940  0.560  0.560
Dy  0.560  0.940  0.940
Dy  0.189  0.189  0.811
Dy  0.811  0.811  0.189
Dy  0.189  0.811  0.189
Dy  0.811  0.189  0.811
Dy  0.811  0.189  0.189
Dy  0.189  0.811  0.811
Ag  0.168  0.168  0.168
Ag  0.496  0.168  0.168
Ag  0.168  0.496  0.168
Ag  0.168  0.168  0.496
Ru  0.610  0.610  0.610
Ru  0.169  0.610  0.610
Ru  0.610  0.169  0.610
Ru  0.610  0.610  0.169



[6]
DFT (PBE) results for an optimized crystal structure of Dy4Ag2Ru.

Results
The energy relative to the elements comes out at -5.05 kcal/mol of atoms. The total energy comes out at -4.9887 eV/atom. The magnetization is 0.00 μB per cell.

Cell: 5.016 5.016 8.643 Å, 73.13 73.13 60.00°
Atoms (fractional coordinates):
Dy  0.880  0.880  0.361
Dy  0.120  0.120  0.639
Dy  0.629  0.629  0.114
Dy  0.371  0.371  0.886
Ag  0.752  0.752  0.745
Ag  0.248  0.248  0.255
Ru  0.000  0.000  0.000



[7]
DFT (PBE) results for an optimized crystal structure of Dy8AgRu5.

Results
The energy relative to the elements comes out at -5.42 kcal/mol of atoms. The total energy comes out at -6.3813 eV/atom. The magnetization is 0.00 μB per cell.

Cell: 7.453 7.453 7.453 Å, 108.96 110.50 108.96°
Atoms (fractional coordinates):
Dy  0.125  0.761  0.018
Dy  0.982  0.107  0.743
Dy  0.735  0.242  0.353
Dy  0.647  0.382  0.888
Dy  0.507  0.618  0.265
Dy  0.636  0.893  0.875
Dy  0.257  0.239  0.364
Dy  0.112  0.758  0.493
Ag  0.250  0.500  0.750
Ru  0.039  0.402  0.137
Ru  0.863  0.903  0.265
Ru  0.735  0.598  0.637
Ru  0.500  0.000  0.500
Ru  0.363  0.097  0.961



[8]
DFT (PBE) results for an optimized crystal structure of Dy5AgRu4.

Results
The energy relative to the elements comes out at -8.66 kcal/mol of atoms. The total energy comes out at -6.6720 eV/atom. The magnetization is 0.00 μB per cell.

Cell: 3.413 3.413 17.614 Å, 90.00 90.00 90.00°
Atoms (fractional coordinates):
Dy  0.500  0.500  0.118
Dy  0.500  0.500  0.309
Dy  0.500  0.500  0.500
Dy  0.500  0.500  0.691
Dy  0.500  0.500  0.882
Ag  0.000  0.000  0.000
Ru  0.000  0.000  0.207
Ru  0.000  0.000  0.404
Ru  0.000  0.000  0.596
Ru  0.000  0.000  0.793



[9]
DFT (PBE) results for an optimized crystal structure of Dy12AgRu6.

Results
The energy relative to the elements comes out at -3.61 kcal/mol of atoms. The total energy comes out at -6.1424 eV/atom. The magnetization is 0.00 μB per cell.

Cell: 8.185 8.185 8.185 Å, 101.31 101.31 101.31°
Atoms (fractional coordinates):
Dy  0.823  0.584  0.444
Dy  0.444  0.823  0.584
Dy  0.584  0.444  0.823
Dy  0.177  0.416  0.556
Dy  0.556  0.177  0.416
Dy  0.416  0.556  0.177
Dy  0.079  0.928  0.335
Dy  0.072  0.665  0.921
Dy  0.665  0.921  0.072
Dy  0.921  0.072  0.665
Dy  0.928  0.335  0.079
Dy  0.335  0.079  0.928
Ag  0.000  0.000  0.000
Ru  0.696  0.859  0.387
Ru  0.613  0.304  0.141
Ru  0.141  0.613  0.304
Ru  0.304  0.141  0.613
Ru  0.387  0.696  0.859
Ru  0.859  0.387  0.696



[10]
DFT (PBE) results for an optimized crystal structure of Dy6AgRu5.

Results
The energy relative to the elements comes out at -8.19 kcal/mol of atoms. The total energy comes out at -6.7589 eV/atom. The magnetization is 0.00 μB per cell.

Cell: 4.864 6.872 7.647 Å, 90.00 108.52 90.00°
Atoms (fractional coordinates):
Ru  0.666  0.500  0.332
Ru  0.336  0.000  0.670
Ru  0.000  0.500  0.000
Ru  0.664  0.000  0.330
Ru  0.334  0.500  0.668
Ag  0.000  0.000  0.000
Dy  0.829  0.746  0.658
Dy  0.829  0.254  0.658
Dy  0.500  0.260  0.000
Dy  0.500  0.740  0.000
Dy  0.171  0.746  0.342
Dy  0.171  0.254  0.342



[11]
DFT (PBE) results for an optimized crystal structure of Dy6AgRu2.

Results
The energy relative to the elements comes out at -7.23 kcal/mol of atoms. The total energy comes out at -5.7595 eV/atom. The magnetization is 0.00 μB per cell.

Cell: 8.424 8.424 8.424 Å, 104.13 111.74 112.67°
Atoms (fractional coordinates):
Dy  0.537  0.718  0.819
Dy  0.463  0.282  0.181
Dy  0.101  0.282  0.819
Dy  0.899  0.718  0.181
Dy  0.802  0.759  0.560
Dy  0.198  0.241  0.440
Dy  0.198  0.759  0.957
Dy  0.802  0.241  0.043
Dy  0.685  0.356  0.671
Dy  0.315  0.644  0.329
Dy  0.315  0.985  0.671
Dy  0.685  0.015  0.329
Ag  0.000  0.500  0.500
Ag  0.000  0.000  0.000
Ru  0.500  0.373  0.873
Ru  0.500  0.627  0.127
Ru  0.678  0.000  0.678
Ru  0.322  0.000  0.322



[12]
DFT (PBE) results for an optimized crystal structure of Dy4AgRu.

Results
The energy relative to the elements comes out at -3.27 kcal/mol of atoms. For the polymorph energy (0 for the lowest one), the calculation gives 166 meV per atom. The total energy comes out at -5.2311 eV/atom. The magnetization is 0.00 μB per cell.

Cell: 4.860 4.861 7.055 Å, 89.94 89.96 90.00°
Atoms (fractional coordinates):
Dy  0.501  0.997  0.265
Dy  0.502  0.998  0.731
Dy  0.002  0.498  0.731
Dy  0.001  0.497  0.265
Ag  0.501  0.497  0.998
Ru  0.001  0.997  0.498



[13]
DFT (PBE) results for an optimized crystal structure of SmDyAgRu.

Results
The energy relative to the elements comes out at -6.77 kcal/mol of atoms. For the polymorph energy (0 for the lowest one), the calculation gives 63 meV per atom. The total energy comes out at -5.6556 eV/atom. The magnetization is 0.00 μB per cell.

Cell: 5.012 5.012 5.012 Å, 60.00 60.00 60.00°
Atoms (fractional coordinates):
Ru  0.750  0.750  0.750
Ag  0.250  0.250  0.250
Sm  0.500  0.500  0.500
Dy  0.000  0.000  0.000



[14]
DFT (PBE) results for an optimized crystal structure of SmDyAgRu.

Results
The energy relative to the elements comes out at -8.22 kcal/mol of atoms. For the polymorph energy (0 for the lowest one), the calculation gives 0 meV per atom. The total energy comes out at -5.7185 eV/atom. The magnetization is 0.00 μB per cell.

Cell: 3.451 3.451 7.597 Å, 90.00 90.00 90.00°
Atoms (fractional coordinates):
Sm  0.500  0.500  0.793
Dy  0.500  0.500  0.347
Ag  0.000  0.000  0.081
Ru  0.000  0.000  0.563



[15]
DFT (PBE) results for an optimized crystal structure of DyAgSnRu.

Results
The energy relative to the elements comes out at -5.55 kcal/mol of atoms. The total energy comes out at -5.4236 eV/atom. The magnetization is 0.00 μB per cell.

Cell: 4.809 4.809 4.809 Å, 60.00 60.00 60.00°
Atoms (fractional coordinates):
Ru  0.500  0.500  0.500
Sn  0.750  0.750  0.750
Ag  0.000  0.000  0.000
Dy  0.250  0.250  0.250



[16]
DFT (PBE) results for an optimized crystal structure of DyThAgRu.

Results
The energy relative to the elements comes out at -5.95 kcal/mol of atoms. The total energy comes out at -6.2955 eV/atom. The magnetization is 0.00 μB per cell.

Cell: 5.071 5.071 5.071 Å, 60.00 60.00 60.00°
Atoms (fractional coordinates):
Ru  0.500  0.500  0.500
Ag  0.000  0.000  0.000
Th  0.750  0.750  0.750
Dy  0.250  0.250  0.250



[17]
DFT (PBE) results for an optimized crystal structure of Dy2Tm5AgRu2.

Results
The energy relative to the elements comes out at -7.29 kcal/mol of atoms. The total energy comes out at -5.6125 eV/atom. The magnetization is 0.00 μB per cell.

Cell: 3.797 11.547 11.547 Å, 90.00 90.00 90.00°
Atoms (fractional coordinates):
Dy  0.000  0.686  0.186
Dy  0.000  0.314  0.814
Dy  0.000  0.186  0.314
Dy  0.000  0.814  0.686
Tm  0.500  0.210  0.060
Tm  0.500  0.790  0.940
Tm  0.500  0.060  0.790
Tm  0.500  0.710  0.440
Tm  0.500  0.940  0.210
Tm  0.500  0.290  0.560
Tm  0.500  0.560  0.710
Tm  0.500  0.440  0.290
Tm  0.500  0.500  0.000
Tm  0.500  0.000  0.500
Ag  0.000  0.000  0.000
Ag  0.000  0.500  0.500
Ru  0.000  0.132  0.632
Ru  0.000  0.868  0.368
Ru  0.000  0.632  0.868
Ru  0.000  0.368  0.132



[18]
DFT (PBE) results for an optimized crystal structure of DyYAgRu.

Results
The energy relative to the elements comes out at -7.88 kcal/mol of atoms. For the polymorph energy (0 for the lowest one), the calculation gives 59 meV per atom. The total energy comes out at -6.1402 eV/atom. The magnetization is 0.00 μB per cell.

Cell: 4.967 4.967 4.967 Å, 60.00 60.00 60.00°
Atoms (fractional coordinates):
Y  0.500  0.500  0.500
Ru  0.750  0.750  0.750
Ag  0.250  0.250  0.250
Dy  0.000  0.000  0.000



[19]
DFT (PBE) results for an optimized crystal structure of DyYAgRu.

Results
The energy relative to the elements comes out at -9.24 kcal/mol of atoms. For the polymorph energy (0 for the lowest one), the calculation gives 0 meV per atom. The total energy comes out at -6.1989 eV/atom. The magnetization is 0.00 μB per cell.

Cell: 3.431 3.431 7.495 Å, 90.00 90.00 90.00°
Atoms (fractional coordinates):
Dy  0.500  0.500  0.794
Y  0.500  0.500  0.348
Ag  0.000  0.000  0.069
Ru  0.000  0.000  0.574



[20]
DFT (PBE) results for an optimized crystal structure of DyZnAgRu.

Results
The energy relative to the elements comes out at -2.36 kcal/mol of atoms. The total energy comes out at -4.6033 eV/atom. The magnetization is 0.00 μB per cell.

Cell: 4.682 4.682 4.682 Å, 60.00 60.00 60.00°
Atoms (fractional coordinates):
Ru  0.250  0.250  0.250
Zn  0.000  0.000  0.000
Ag  0.750  0.750  0.750
Dy  0.500  0.500  0.500



[21]
DFT (PBE) results for an optimized crystal structure of Dy2AgS.

Results
The formation energy from raw total energies is -1.055 eV/atom. For the polymorph energy (0 for the lowest one), the calculation gives 79 meV per atom. The total energy comes out at -5.1003 eV/atom. The magnetization is 0.00 μB per cell.

Cell: 3.882 3.882 7.624 Å, 75.25 75.25 60.00°
Atoms (fractional coordinates):
S  0.000  0.000  0.000
Ag  0.500  0.500  0.500
Dy  0.741  0.741  0.777
Dy  0.259  0.259  0.223



[22]
DFT (PBE) results for an optimized crystal structure of Dy5AgS4.

Results
The formation energy from raw total energies is -1.612 eV/atom. The total energy comes out at -5.8489 eV/atom. The magnetization is 0.00 μB per cell.

Cell: 3.908 6.925 8.871 Å, 75.78 77.28 73.61°
Atoms (fractional coordinates):
Dy  0.204  0.901  0.691
Dy  0.796  0.099  0.309
Dy  0.392  0.325  0.892
Dy  0.000  0.500  0.500
Dy  0.608  0.675  0.108
Ag  0.000  0.000  0.000
S  0.599  0.205  0.598
S  0.203  0.389  0.206
S  0.797  0.611  0.794
S  0.401  0.795  0.402